No. 1
Rh5Pb3: optimized geometry, PBEsol.

Properties
Formation enthalpy at 0 K = 5.16 kJ per mole of atoms
VASP energy = -52.26 eV per cell
V = 134.1 Å³/cell

Cell and atoms, written as POSCAR:
```
Rh5Pb3
1.0
-2.135 3.488 0.973
-4.863 -2.613 -1.304
0.179 -1.422 5.489
Pb Rh
3 5
Direct
0.500 0.210 0.790 Pb
0.000 0.500 0.500 Pb
0.500 0.790 0.210 Pb
0.000 0.000 0.500 Rh
0.000 0.000 0.000 Rh
0.000 0.500 0.000 Rh
0.500 0.721 0.721 Rh
0.500 0.279 0.279 Rh
```

---

No. 2
TiAgAs2Br: optimized geometry, PBEsol.

Properties
Energy above the most stable polymorph in this dataset = 0 meV/atom
Formation energy without anion corrections = 0.1572 eV per atom
VASP energy = -22.93 eV per cell
V = 117.8 Å³/cell

Cell and atoms, written as POSCAR:
```
TiAgAs2Br
1.0
-3.285 -0.654 3.503
-0.448 -4.651 -1.288
3.659 -1.239 3.200
As Ti Br Ag
2 1 1 1
Direct
0.000 0.500 0.000 As
0.500 0.000 0.000 As
0.000 0.000 0.000 Ti
0.000 0.000 0.500 Br
0.500 0.500 0.500 Ag
```

---

No. 3
BeCrICl2: optimized geometry, PBEsol.

Properties
Formation energy without anion corrections = -0.1661 eV per atom
VASP energy = -20.86 eV per cell
V = 116.8 Å³/cell

Cell and atoms, written as POSCAR:
```
BeCrICl2
1.0
4.172 0.000 0.000
0.000 4.172 0.000
0.000 0.000 6.713
Be I Cl Cr
1 1 2 1
Direct
0.000 0.000 0.000 Be
0.500 0.500 0.500 I
0.000 0.500 0.000 Cl
0.500 0.000 0.000 Cl
0.000 0.000 0.500 Cr
```

---

No. 4
SiPt3: optimized geometry, PBEsol.

Properties
Formation energy without anion corrections = -0.5060 eV per atom
VASP energy = -57.32 eV per cell
V = 115.5 Å³/cell

Cell and atoms, written as POSCAR:
```
SiPt3
1.0
-0.947 -2.990 -2.379
4.925 0.225 -2.244
1.840 -3.516 3.687
Pt Si
6 2
Direct
0.000 0.685 0.815 Pt
0.000 0.185 0.685 Pt
0.000 0.815 0.315 Pt
0.000 0.315 0.185 Pt
0.500 0.000 0.000 Pt
0.500 0.500 0.500 Pt
0.500 0.500 0.000 Si
0.500 0.000 0.500 Si
```

---

No. 5
Mg4Ag5: optimized geometry, PBEsol.

Properties
Energy above the most stable polymorph in this dataset = 0 meV/atom
Formation enthalpy at 0 K = -16.62 kJ per mole of atoms
VASP energy = -49.95 eV per cell
V = 319.7 Å³/cell

Cell and atoms, written as POSCAR:
```
Mg4Ag5
1.0
5.693 0.000 0.000
0.000 8.053 0.000
0.000 -4.026 6.974
Ag Mg
10 8
Direct
0.000 0.667 0.333 Ag
0.500 0.667 0.333 Ag
0.250 0.313 0.000 Ag
0.750 0.313 0.313 Ag
0.750 0.687 0.000 Ag
0.500 0.333 0.667 Ag
0.000 0.333 0.667 Ag
0.250 0.000 0.313 Ag
0.750 0.000 0.687 Ag
0.250 0.687 0.687 Ag
0.750 0.643 0.643 Mg
0.000 0.000 0.000 Mg
0.250 0.357 0.357 Mg
0.750 0.357 0.000 Mg
0.250 0.643 0.000 Mg
0.250 0.000 0.643 Mg
0.750 0.000 0.357 Mg
0.500 0.000 0.000 Mg
```

---

No. 6
BaAgP: optimized geometry, PBEsol.

Properties
Formation enthalpy at 0 K = -71.36 kJ per mole of atoms
VASP energy = -26.94 eV per cell
V = 151.5 Å³/cell

Cell and atoms, written as POSCAR:
```
BaAgP
1.0
4.432 0.000 0.000
-2.216 3.839 0.000
0.000 0.000 8.906
P Ag Ba
2 2 2
Direct
0.333 0.667 0.750 P
0.667 0.333 0.250 P
0.333 0.667 0.250 Ag
0.667 0.333 0.750 Ag
0.000 0.000 0.000 Ba
0.000 0.000 0.500 Ba
```

---

No. 7
FeCu2Si: optimized geometry, PBEsol.

Properties
Formation energy without anion corrections = 0.0439 eV per atom
VASP energy = -23.20 eV per cell
V = 46.4 Å³/cell

Cell and atoms, written as POSCAR:
```
FeCu2Si
1.0
2.587 0.000 0.000
0.000 3.664 0.000
0.000 0.000 4.892
Si Cu Fe
1 2 1
Direct
0.500 0.500 0.500 Si
0.000 0.000 0.248 Cu
0.000 0.000 0.752 Cu
0.500 0.500 0.000 Fe
```

---

No. 8
ReAsRu2: optimized geometry, PBEsol.

Properties
Formation enthalpy at 0 K = 35.34 kJ per mole of atoms
VASP energy = -37.32 eV per cell
V = 57.0 Å³/cell

Cell and atoms, written as POSCAR:
```
ReAsRu2
1.0
2.822 0.000 0.000
0.000 4.496 0.000
0.000 0.000 4.496
Ru Re As
2 1 1
Direct
0.000 0.000 0.500 Ru
0.000 0.500 0.000 Ru
0.500 0.000 0.000 Re
0.500 0.500 0.500 As
```

---

No. 9
KRb2F: optimized geometry, PBEsol.

Properties
Formation energy without anion corrections = -1.2757 eV per atom
VASP energy = -20.43 eV per cell
V = 454.5 Å³/cell

Cell and atoms, written as POSCAR:
```
KRb2F
1.0
-3.204 0.951 7.957
4.747 -2.220 6.857
3.157 6.103 5.222
K F Rb
2 2 4
Direct
0.750 0.750 0.750 K
0.500 0.500 0.500 K
0.000 0.000 0.000 F
0.250 0.250 0.250 F
0.125 0.625 0.125 Rb
0.125 0.125 0.625 Rb
0.125 0.125 0.125 Rb
0.625 0.125 0.125 Rb
```

---

No. 10
Ca2ScTa: optimized geometry, PBEsol.

Properties
Energy above the most stable polymorph in this dataset = 0 meV/atom
Formation enthalpy at 0 K = 43.45 kJ per mole of atoms
VASP energy = -21.62 eV per cell
V = 111.1 Å³/cell

Cell and atoms, written as POSCAR:
```
Ca2ScTa
1.0
-0.865 3.464 0.480
-2.493 -0.264 -2.588
-5.827 -2.265 5.845
Ca Sc Ta
2 1 1
Direct
0.500 0.500 0.293 Ca
0.000 0.000 0.947 Ca
0.000 0.000 0.556 Sc
0.500 0.500 0.703 Ta
```

---

No. 11
KSbCl4: optimized geometry, PBEsol.

Properties
Formation energy without anion corrections = -0.0339 eV per atom
VASP energy = -13.93 eV per cell
V = 147.0 Å³/cell

Cell and atoms, written as POSCAR:
```
KSbCl4
1.0
-2.172 1.896 -5.176
0.201 -3.517 -4.763
-4.991 -2.353 -2.158
Cl Sb K
4 1 1
Direct
0.375 0.375 0.876 Cl
0.375 0.375 0.375 Cl
0.876 0.375 0.375 Cl
0.375 0.876 0.375 Cl
0.000 0.000 0.000 Sb
0.750 0.750 0.750 K
```

---

No. 12
NbCrI2O: optimized geometry, PBEsol.

Properties
Formation energy without anion corrections = -0.2070 eV per atom
VASP energy = -30.88 eV per cell
V = 123.0 Å³/cell

Cell and atoms, written as POSCAR:
```
NbCrI2O
1.0
-2.060 2.852 -1.639
-0.735 -3.171 -4.594
-4.715 -2.128 2.223
Cr O I Nb
1 1 2 1
Direct
0.500 0.500 0.500 Cr
0.500 0.000 0.000 O
0.000 0.000 0.500 I
0.000 0.500 0.000 I
0.000 0.000 0.000 Nb
```

---

No. 13
CoTc3S: optimized geometry, PBEsol.

Properties
Energy above the most stable polymorph in this dataset = 0 meV/atom
Formation energy without anion corrections = 0.7560 eV per atom
VASP energy = -42.14 eV per cell
V = 75.9 Å³/cell

Cell and atoms, written as POSCAR:
```
CoTc3S
1.0
4.233 0.000 0.000
0.000 4.233 0.000
0.000 0.000 4.233
S Tc Co
1 3 1
Direct
0.000 0.000 0.000 S
0.500 0.000 0.000 Tc
0.000 0.000 0.500 Tc
0.000 0.500 0.000 Tc
0.500 0.500 0.500 Co
```

---

No. 14
CsSO2F: optimized geometry, PBEsol.

Properties
Formation energy without anion corrections = -1.8430 eV per atom
VASP energy = -107.87 eV per cell
V = 414.1 Å³/cell

Cell and atoms, written as POSCAR:
```
CsSO2F
1.0
-4.023 -4.003 -3.434
-1.922 -3.809 6.691
-5.958 5.009 1.140
Cs O S F
4 8 4 4
Direct
0.250 0.388 0.855 Cs
0.750 0.888 0.645 Cs
0.750 0.612 0.145 Cs
0.250 0.112 0.355 Cs
0.434 0.735 0.406 O
0.066 0.765 0.906 O
0.934 0.235 0.094 O
0.066 0.735 0.406 O
0.566 0.265 0.594 O
0.566 0.235 0.094 O
0.434 0.765 0.906 O
0.934 0.265 0.594 O
0.750 0.365 0.561 S
0.250 0.635 0.439 S
0.750 0.135 0.061 S
0.250 0.865 0.939 S
0.750 0.494 0.745 F
0.750 0.006 0.245 F
0.250 0.506 0.255 F
0.250 0.994 0.755 F
```

---

No. 15
NbCuRu3: optimized geometry, PBEsol.

Properties
Formation enthalpy at 0 K = 135.56 kJ per mole of atoms
VASP energy = -38.65 eV per cell
V = 80.8 Å³/cell

Cell and atoms, written as POSCAR:
```
NbCuRu3
1.0
-0.748 -2.597 3.374
2.883 -2.830 -1.539
3.134 1.984 2.221
Nb Ru Cu
1 3 1
Direct
0.500 0.500 0.500 Nb
0.000 0.500 0.000 Ru
0.000 0.000 0.500 Ru
0.500 0.000 0.000 Ru
0.000 0.000 0.000 Cu
```

---

No. 16
TmSbPt: optimized geometry, PBEsol.

Properties
Formation energy without anion corrections = -1.2346 eV per atom
VASP energy = -20.12 eV per cell
V = 67.7 Å³/cell

Cell and atoms, written as POSCAR:
```
TmSbPt
1.0
4.575 0.000 0.000
2.287 3.962 0.000
2.287 1.321 3.735
Pt Sb Tm
1 1 1
Direct
0.750 0.750 0.750 Pt
0.000 0.000 0.000 Sb
0.500 0.500 0.500 Tm
```

---

No. 17
Ni4MoRh: optimized geometry, PBEsol.

Properties
Formation enthalpy at 0 K = -7.95 kJ per mole of atoms
VASP energy = -45.03 eV per cell
V = 69.1 Å³/cell

Cell and atoms, written as POSCAR:
```
Ni4MoRh
1.0
4.605 0.000 0.000
2.303 3.988 0.000
2.303 1.329 3.760
Rh Ni Mo
1 4 1
Direct
0.750 0.750 0.750 Rh
0.875 0.375 0.375 Ni
0.375 0.375 0.375 Ni
0.375 0.375 0.875 Ni
0.375 0.875 0.375 Ni
0.000 0.000 0.000 Mo
```

---

No. 18
BaIn2SiMo: optimized geometry, PBEsol.

Properties
Formation energy without anion corrections = 0.5144 eV per atom
VASP energy = -23.06 eV per cell
V = 133.7 Å³/cell

Cell and atoms, written as POSCAR:
```
BaIn2SiMo
1.0
-2.090 -3.716 -2.278
4.679 -2.356 -0.450
-0.764 -2.400 4.616
In Ba Mo Si
2 1 1 1
Direct
0.000 0.500 0.000 In
0.000 0.000 0.500 In
0.500 0.500 0.500 Ba
0.500 0.000 0.000 Mo
0.000 0.000 0.000 Si
```

---

No. 19
TaRhW2: optimized geometry, PBEsol.

Properties
Energy above the most stable polymorph in this dataset = 0 meV/atom
Formation enthalpy at 0 K = -3.68 kJ per mole of atoms
VASP energy = -48.46 eV per cell
V = 62.6 Å³/cell

Cell and atoms, written as POSCAR:
```
TaRhW2
1.0
-1.715 1.809 -2.112
-0.290 -3.372 -2.653
-3.780 -1.249 2.000
Rh W Ta
1 2 1
Direct
0.500 0.000 0.500 Rh
0.000 0.000 0.000 W
0.500 0.500 0.000 W
0.000 0.500 0.500 Ta
```

---

No. 20
Sr2RhPb: optimized geometry, PBEsol.

Properties
Formation enthalpy at 0 K = -13.44 kJ per mole of atoms
VASP energy = -16.37 eV per cell
V = 106.1 Å³/cell

Cell and atoms, written as POSCAR:
```
Sr2RhPb
1.0
-0.112 -1.333 -4.706
-2.728 -3.385 3.567
-2.277 4.180 -1.130
Sr Rh Pb
2 1 1
Direct
0.750 0.500 0.250 Sr
0.250 0.500 0.750 Sr
0.000 0.000 0.000 Rh
0.500 0.000 0.500 Pb
```